VASP calculation (GGA-PBE) on an optimized crystal structure of Ag8HgAu2.

The structure in POSCAR format:
```
Ag8HgAu2
1.0
3.8176 -6.5086 0.0000
3.8176 6.5086 0.0000
-2.5108 0.0000 4.3486
Ag Hg Au
8 1 2
Cartesian
-0.0020 1.5056 2.7884
3.8176 3.6990 0.0000
-0.0020 -1.5056 2.7884
2.6983 0.0000 0.8180
2.4261 0.0000 3.5306
5.1264 1.5056 1.5602
3.8176 -3.6990 0.0000
5.1264 -1.5056 1.5602
0.0000 0.0000 0.0000
2.5622 2.4988 2.1743
2.5622 -2.4988 2.1743
```

Summary:
formation energy from the elements: 110 kJ/mol of formula units
relative energy among the computed polymorphs: 105 meV per atom



VASP calculation (GGA-PBE) on an optimized crystal structure of TmNbCuTc.

The structure in POSCAR format:
```
TmNbCuTc
1.0
6.5429 0.0000 0.0000
0.0000 6.5429 0.0000
0.0000 0.0000 6.5429
Tm Nb Cu Tc
4 4 4 4
Cartesian
0.0000 0.0000 0.0000
0.0000 3.2715 3.2715
3.2715 0.0000 3.2715
3.2715 3.2715 0.0000
0.0000 0.0000 3.2715
0.0000 3.2715 0.0000
3.2715 0.0000 0.0000
3.2715 3.2715 3.2715
1.6357 1.6357 1.6357
1.6357 4.9072 4.9072
4.9072 1.6357 4.9072
4.9072 4.9072 1.6357
1.6357 1.6357 4.9072
1.6357 4.9072 1.6357
4.9072 1.6357 1.6357
4.9072 4.9072 4.9072
```

Summary:
formation energy from the elements: -19 kJ/mol of formula units